Entry 1:
First-principles (PBE) data for Tb3SmRh8 after structural relaxation, as listed in the Alexandria database.

Cell lengths 5.3570, 5.3570, 9.2766 Å; angles 73.22, 73.22, 60.00 degrees
Fractional coordinates of all 12 atoms:
Tb  0.3747  0.3747  0.8758
Tb  0.0004  0.0004  0.9988
Tb  0.4998  0.4998  0.5005
Sm  0.8750  0.8750  0.3750
Rh  0.9381  0.4378  0.1862
Rh  0.4367  0.9373  0.6887
Rh  0.4378  0.4378  0.1862
Rh  0.9373  0.9373  0.6887
Rh  0.1874  0.1874  0.4377
Rh  0.6875  0.6875  0.9374
Rh  0.4378  0.9381  0.1862
Rh  0.9373  0.4367  0.6887

Volume   217.36 Å³/f.u.
ΔE_f   -729 meV per atom
DOS(E_F)   0.59 states/eV per atom
DFT total energy   -86.17 eV for the cell shown

Entry 2:
First-principles (PBE) data for TbSm2Rh after structural relaxation, as listed in the Alexandria database.

Cell lengths 3.6931, 3.6931, 10.8313 Å; angles 80.18, 80.18, 60.00 degrees
Last column: magnetic moment on the atom in μB.
Fractional coordinates of all 4 atoms:
Rh  0.5000  0.5000  0.5000  0.00
Tb  0.0000  0.0000  0.0000  0.24
Sm  0.1102  0.1102  0.6693  0.03
Sm  0.8898  0.8898  0.3307  0.03

Volume   125.43 Å³/f.u.
ΔE_f   -95 meV per atom
DOS(E_F)   1.42 states/eV per atom
ΔE to the lowest computed polymorph   379 meV per atom
DFT total energy   -21.80 eV for the cell shown

Entry 3:
First-principles (PBE) data for TbSm2Rh after structural relaxation, as listed in the Alexandria database.

Cell lengths 3.8645, 6.2565, 9.7546 Å; angles 90.00, 90.00, 107.98 degrees
Fractional coordinates of all 8 atoms:
Tb  0.4186  0.8370  0.2500
Tb  0.5814  0.1630  0.7500
Sm  0.1379  0.2760  0.4324
Sm  0.8621  0.7240  0.5676
Sm  0.8621  0.7240  0.9324
Sm  0.1379  0.2760  0.0676
Rh  0.7393  0.4783  0.2500
Rh  0.2607  0.5217  0.7500

Volume   112.16 Å³/f.u.
ΔE_f   -440 meV per atom
DOS(E_F)   1.25 states/eV per atom
ΔE to the lowest computed polymorph   34 meV per atom
DFT total energy   -46.36 eV for the cell shown